Computed, not measured: a geometry-optimized CaTe2As structure at the GGA-PBE level of DFT.

Calculated total energy: -3.901 eV per atom
Energy relative to the elements, uncorrected: -0.667 eV/atom
Symmetry: Pm, No. 6
Fermi-level density of states: 0.72 states/eV/cell

Cell: 4.7319 4.4698 6.4551 Å, 66.98 90.00 90.00°
With the nearest neighbours (Å) after each atom.
Atoms (fractional coordinates):
As  0.0000  0.4954  0.4611  3 Te 2.69-2.73
Te  0.0000  0.0757  0.8934  1 As 2.69
Te  0.5000  0.2954  0.3485  2 As 2.73
Ca  0.5000  0.6335  0.7970  6 Te 3.23-3.31, 2 As 3.42